# 1
Compound: PbCSN2
Source: the Alexandria database
Functional: PBE
Structure: optimized geometry

The structure in POSCAR format:
```
PbCSN2
1.0
4.3306 0.0000 0.0000
0.0000 4.3306 0.0000
0.0000 0.0000 5.6068
Pb S C N
1 1 1 2
Direct
0.0000 0.0000 0.0000 Pb
0.0000 0.0000 0.5000 S
0.5000 0.5000 0.5000 C
0.0000 0.5000 0.0000 N
0.5000 0.0000 0.0000 N
```

Results
The value obtained for the mass density is 4.41 g/cm³. The calculation puts the volume at 105.2 Å³ per cell. Its crystal system is tetragonal. The uncorrected formation energy is 1476 kJ/mol of formula units. The value obtained for the polymorph energy (0 for the lowest one) is 965.4 meV/atom.

# 2
Compound: Ca2Pt2Pb
Source: the Alexandria database
Functional: PBE
Structure: optimized geometry

The structure in POSCAR format:
```
Ca2Pt2Pb
1.0
-0.5906 0.3901 4.5966
-2.7426 -3.7559 -0.0336
3.0979 -5.1700 3.1897
Pb Ca Pt
1 2 2
Direct
0.0000 0.0000 0.0000 Pb
0.7500 0.2500 0.5000 Ca
0.2500 0.7500 0.5000 Ca
0.3913 0.3913 0.2174 Pt
0.6087 0.6087 0.7826 Pt
```

Results
The value obtained for the formation enthalpy at 0 K is -0.41 eV per atom. The value obtained for the mass density is 8.71 g/cm³. The calculation puts the volume at 129.2 Å³ per cell. Its crystal system is tetragonal.

# 3
Compound: Pm2Ga4SnPd3
Source: the Alexandria database
Functional: PBE
Structure: optimized geometry

The structure in POSCAR format:
```
Pm2Ga4SnPd3
1.0
4.3175 0.0000 0.0000
0.0000 4.3175 0.0000
0.0000 0.0000 10.7922
Pm Ga Sn Pd
2 4 1 3
Direct
0.5000 0.0000 0.2370 Pm
0.0000 0.5000 0.7630 Pm
0.5000 0.5000 0.0000 Ga
0.0000 0.0000 0.0000 Ga
0.5000 0.0000 0.6526 Ga
0.0000 0.5000 0.3474 Ga
0.5000 0.5000 0.5000 Sn
0.0000 0.0000 0.5000 Pd
0.5000 0.0000 0.8778 Pd
0.0000 0.5000 0.1222 Pd
```

Results
The value obtained for the formation enthalpy at 0 K is -0.73 eV per atom. The value obtained for the mass density is 8.31 g/cm³. The calculation puts the volume at 201.2 Å³ per cell. Its crystal system is tetragonal.

# 4
Compound: LaTbNiPt
Source: the Alexandria database
Functional: PBE
Structure: optimized geometry

The structure in POSCAR format:
```
LaTbNiPt
1.0
5.0117 0.0000 0.0000
2.5058 4.3402 0.0000
2.5058 1.4467 4.0920
Ni Tb Pt La
1 1 1 1
Direct
0.2500 0.2500 0.2500 Ni
0.5000 0.5000 0.5000 Tb
0.7500 0.7500 0.7500 Pt
0.0000 0.0000 0.0000 La
```

Results
The value obtained for the formation enthalpy at 0 K is -0.69 eV per atom. The value obtained for the mass density is 10.29 g/cm³. The calculation puts the volume at 89.0 Å³ per cell. Its crystal system is cubic. The value obtained for the polymorph energy (0 for the lowest one) is 105.9 meV/atom.

# 5
Compound: AlFe2Ru
Source: the Alexandria database
Functional: PBE
Structure: optimized geometry

The structure in POSCAR format:
```
AlFe2Ru
1.0
4.9316 0.0025 -0.0039
2.3680 4.3259 0.0039
-3.2496 -2.8391 2.3875
Ru Fe Al
1 2 1
Direct
0.7500 0.2500 0.5000 Ru
0.9967 0.9967 0.0000 Fe
0.5033 0.5033 0.0000 Fe
0.2500 0.7500 0.5000 Al
```

Results
The value obtained for the formation enthalpy at 0 K is -0.20 eV per atom. The value obtained for the mass density is 7.81 g/cm³. The calculation puts the volume at 50.9 Å³ per cell. Its crystal system is orthorhombic.

# 6
Compound: BaAl2AgH8
Source: the Alexandria database
Functional: PBE
Structure: optimized geometry

The structure in POSCAR format:
```
BaAl2AgH8
1.0
-4.5381 0.2842 0.8350
-1.7508 -1.7832 3.8894
-0.9426 6.6994 5.3947
Ba Al Ag H
1 2 1 8
Direct
0.5000 0.5000 0.5000 Ba
0.2602 0.2602 0.2193 Al
0.7398 0.7398 0.7807 Al
0.0000 0.0000 0.0000 Ag
0.1896 0.1896 0.4312 H
0.6183 0.2803 0.1805 H
0.8104 0.8104 0.5688 H
0.9209 0.6183 0.1805 H
0.0791 0.3817 0.8195 H
0.2803 0.9209 0.1805 H
0.7197 0.0791 0.8195 H
0.3817 0.7197 0.8195 H
```

Results
The value obtained for the mass density is 3.35 g/cm³. The calculation puts the volume at 152.3 Å³ per cell. Its crystal system is trigonal. The calculation puts the raw total energy at -39.040 eV for the cell shown.

# 7
Compound: TaTlW
Source: the Alexandria database
Functional: PBE
Structure: optimized geometry

The structure in POSCAR format:
```
TaTlW
1.0
-0.5247 -0.1270 -2.8957
1.5214 -4.1538 -0.0936
-8.7113 -3.2309 1.7817
Tl W Ta
2 2 2
Direct
0.9799 0.5000 0.7698 Tl
0.9060 0.0000 0.5360 Tl
0.4801 0.0000 0.9530 W
0.1460 0.5000 0.0816 W
0.4079 0.5000 0.3549 Ta
0.8004 0.0000 0.2148 Ta
```

Results
The value obtained for the formation enthalpy at 0 K is 0.47 eV per atom. The value obtained for the mass density is 15.33 g/cm³. The calculation puts the volume at 123.3 Å³ per cell. Its crystal system is monoclinic. The value obtained for the polymorph energy (0 for the lowest one) is 102.1 meV/atom.

# 8
Compound: KBC
Source: the Alexandria database
Functional: PBE
Structure: optimized geometry

The structure in POSCAR format:
```
KBC
1.0
2.8418 0.0000 4.7379
-1.4209 2.4611 4.7379
-1.4209 -2.4611 4.7379
K B C
2 2 2
Direct
0.6152 0.6152 0.6152 K
0.3848 0.3848 0.3848 K
0.1481 0.1481 0.1481 B
0.8519 0.8519 0.8519 B
0.9546 0.9546 0.9546 C
0.0454 0.0454 0.0454 C
```

Results
The value obtained for the formation enthalpy at 0 K is 0.73 eV per atom. The value obtained for the mass density is 2.07 g/cm³. The calculation puts the volume at 99.4 Å³ per cell. Its crystal system is trigonal.

# 9
Compound: Sc3SnGe
Source: the Alexandria database
Functional: PBE
Structure: optimized geometry

The structure in POSCAR format:
```
Sc3SnGe
1.0
-1.2161 2.1721 -3.6262
-4.2506 -3.4907 2.0024
-2.4138 7.6144 5.3716
Sc Sn Ge
6 2 2
Direct
0.3906 0.7816 0.1051 Sc
0.1398 0.2794 0.5901 Sc
0.8985 0.7966 0.8360 Sc
0.1015 0.2034 0.1640 Sc
0.6094 0.2184 0.8949 Sc
0.8602 0.7206 0.4099 Sc
0.5730 0.1461 0.3774 Sn
0.4270 0.8539 0.6226 Sn
0.7590 0.5184 0.1440 Ge
0.2410 0.4816 0.8560 Ge
```

Results
The value obtained for the formation enthalpy at 0 K is -0.58 eV per atom. The value obtained for the mass density is 4.74 g/cm³. The calculation puts the volume at 228.4 Å³ per cell. Its crystal system is monoclinic. The value obtained for the polymorph energy (0 for the lowest one) is 0.0 meV/atom.

# 10
Compound: Th3NiSb2
Source: the Alexandria database
Functional: PBE
Structure: optimized geometry

The structure in POSCAR format:
```
Th3NiSb2
1.0
-2.5334 -2.3892 2.4315
9.7243 -5.2149 5.0078
0.1752 8.9006 8.9284
Th Ni Sb
12 4 8
Direct
0.2500 0.3831 0.0535 Th
0.7500 0.6169 0.9465 Th
0.7500 0.8831 0.4465 Th
0.2500 0.1169 0.5535 Th
0.2500 0.7260 0.2322 Th
0.7500 0.2740 0.7678 Th
0.7500 0.2260 0.2678 Th
0.2500 0.7740 0.7322 Th
0.2500 0.4474 0.3822 Th
0.7500 0.5526 0.6178 Th
0.7500 0.9474 0.1178 Th
0.2500 0.0526 0.8822 Th
0.2500 0.1303 0.1215 Ni
0.7500 0.8697 0.8785 Ni
0.7500 0.6303 0.3785 Ni
0.2500 0.3697 0.6215 Ni
0.2500 0.6943 0.4872 Sb
0.7500 0.3057 0.5128 Sb
0.7500 0.1943 0.0128 Sb
0.2500 0.8057 0.9872 Sb
0.2500 0.0145 0.3046 Sb
0.7500 0.9855 0.6954 Sb
0.7500 0.5145 0.1954 Sb
0.2500 0.4855 0.8046 Sb
```

Results
The value obtained for the mass density is 10.22 g/cm³. The calculation puts the volume at 648.9 Å³ per cell. Its crystal system is orthorhombic. The uncorrected formation energy is -412 kJ/mol of formula units.

# 11
Compound: ZrScN2F
Source: the Alexandria database
Functional: PBE
Structure: optimized geometry

The structure in POSCAR format:
```
ZrScN2F
1.0
-2.5919 -1.2628 3.1565
-0.1944 -3.9077 -1.7229
3.1701 -1.1097 2.1592
Sc N Zr F
1 2 1 1
Direct
0.5000 0.5000 0.5000 Sc
0.0000 0.5000 0.0000 N
0.5000 0.0000 0.0000 N
0.0000 0.0000 0.0000 Zr
0.0000 0.0000 0.5000 F
```

Results
The value obtained for the mass density is 4.17 g/cm³. The calculation puts the volume at 73.0 Å³ per cell. Its crystal system is tetragonal. The uncorrected formation energy is -572 kJ/mol of formula units. The value obtained for the polymorph energy (0 for the lowest one) is 0.0 meV/atom.

# 12
Compound: Cu2PBr
Source: the Alexandria database
Functional: PBE
Structure: optimized geometry

The structure in POSCAR format:
```
Cu2PBr
1.0
4.7015 -0.0123 0.0000
0.8797 4.6185 0.0000
-2.7906 -2.3031 3.0021
Br Cu P
1 2 1
Direct
0.7500 0.2500 0.5000 Br
0.0000 0.0000 0.0000 Cu
0.5000 0.5000 0.0000 Cu
0.2500 0.7500 0.5000 P
```

Results
The value obtained for the mass density is 6.06 g/cm³. The calculation puts the volume at 65.2 Å³ per cell. Its crystal system is tetragonal. The uncorrected formation energy is 264 kJ/mol of formula units. The value obtained for the polymorph energy (0 for the lowest one) is 697.1 meV/atom.